! NaCuGePd, optimized geometry, DFT PBE; values from VASP
&SYSTEM
  ibrav = 0, nat = 4, ntyp = 4
/
ATOMIC_SPECIES
Na 22.99 Na.upf
Cu 63.55 Cu.upf
Ge 72.64 Ge.upf
Pd 106.42 Pd.upf
ATOMIC_POSITIONS crystal
Na 0.000 0.000 0.000
Cu 0.750 0.750 0.750
Ge 0.500 0.500 0.500
Pd 0.250 0.250 0.250
CELL_PARAMETERS angstrom
0.000 3.150 3.150
3.150 0.000 3.150
3.150 3.150 0.000
! uncorrected energy	-3.8570	eV/atom
! ΔH_f (0 K)	-4.9	kJ/mol of atoms
! space-group type	F-43m (216)
! size of the total moment	0.00	μB per cell

! Na2CuGe4Pd3, optimized geometry, DFT PBE; values from VASP
&SYSTEM
  ibrav = 0, nat = 10, ntyp = 4
/
ATOMIC_SPECIES
Na 22.99 Na.upf
Cu 63.55 Cu.upf
Ge 72.64 Ge.upf
Pd 106.42 Pd.upf
ATOMIC_POSITIONS crystal
Na 0.000 0.500 0.242
Na 0.500 0.000 0.758
Cu 0.500 0.500 0.000
Ge 0.000 0.000 0.500
Ge 0.000 0.500 0.876
Ge 0.500 0.000 0.124
Ge 0.500 0.500 0.500
Pd 0.000 0.000 0.000
Pd 0.000 0.500 0.638
Pd 0.500 0.000 0.362
CELL_PARAMETERS angstrom
4.262 0.000 0.000
0.000 4.262 0.000
0.000 0.000 10.462
! uncorrected energy	-4.3561	eV/atom
! ΔH_f (0 K)	-26.8	kJ/mol of atoms
! space-group type	P-4m2 (115)
! size of the total moment	0.00	μB per cell

! Na2Cu3Ge4Pd, optimized geometry, DFT PBE; values from VASP
&SYSTEM
  ibrav = 0, nat = 10, ntyp = 4
/
ATOMIC_SPECIES
Na 22.99 Na.upf
Cu 63.55 Cu.upf
Ge 72.64 Ge.upf
Pd 106.42 Pd.upf
ATOMIC_POSITIONS crystal
Na 0.000 0.500 0.246
Na 0.500 0.000 0.754
Cu 0.000 0.000 0.000
Cu 0.000 0.500 0.634
Cu 0.500 0.000 0.366
Ge 0.000 0.000 0.500
Ge 0.000 0.500 0.873
Ge 0.500 0.000 0.127
Ge 0.500 0.500 0.500
Pd 0.500 0.500 0.000
CELL_PARAMETERS angstrom
4.246 0.000 0.000
0.000 4.246 0.000
0.000 0.000 10.136
! uncorrected energy	-3.9704	eV/atom
! ΔH_f (0 K)	-10.8	kJ/mol of atoms
! space-group type	P-4m2 (115)
! size of the total moment	0.00	μB per cell